Compound: CoSe
Source: Alexandria
Functional: PBE-GGA
Structure: optimized geometry

Lattice parameters (Å, degrees): 3.3883 5.8629 3.4331 90.00 90.00 90.00
Space group Cmmm (No. 65)
Inequivalent atoms, fractional coordinates:
Co (0.0000, 0.0000, 0.0000)
Se (0.0000, 0.5000, 0.5000)

E	-4.8693	eV per atom
raw formation energy	426	meV/atom

=====

Compound: Co4Se
Source: Alexandria
Functional: PBE-GGA
Structure: optimized geometry

Lattice parameters (Å, degrees): 4.2776 4.2776 4.2776 90.00 90.00 90.00
Space group Pm-3m (No. 221)
Inequivalent atoms, fractional coordinates:
Co (0.0000, 0.0000, 0.0000)
Co (0.0000, 0.5000, 0.5000)
Se (0.5000, 0.5000, 0.5000)

E	-5.4500	eV per atom
raw formation energy	932	meV/atom

=====

Compound: Co3Se
Source: Alexandria
Functional: PBE-GGA
Structure: optimized geometry

Lattice parameters (Å, degrees): 2.7488 3.7841 4.9155 90.00 104.04 90.00
Space group P2/m (No. 10)
Inequivalent atoms, fractional coordinates:
Co (0.0000, 0.0000, 0.0000)
Co (0.3707, 0.5000, 0.7512)
Se (0.0000, 0.0000, 0.5000)

E	-5.9387	eV per atom
excess energy over the best structure of this formula in the dataset	20	meV/atom
raw formation energy	262	meV/atom

=====

Compound: Co3Se4
Source: Alexandria
Functional: PBE-GGA
Structure: optimized geometry

Lattice parameters (Å, degrees): 4.5241 4.5241 8.2526 90.00 90.00 120.00
Space group P6/mmm (No. 191)
Inequivalent atoms, fractional coordinates:
Co (0.0000, 0.5000, 0.0000)
Se (0.0000, 0.0000, 0.1809)
Se (0.3333, 0.6667, 0.5000)

E	-4.5338	eV per atom
excess energy over the best structure of this formula in the dataset	789	meV/atom
raw formation energy	503	meV/atom

=====

Compound: CoSe
Source: Alexandria
Functional: PBE-GGA
Structure: optimized geometry

Lattice parameters (Å, degrees): 2.9270 4.0106 12.4788 90.00 90.00 90.00
Space group Imma (No. 74)
Inequivalent atoms, fractional coordinates:
Co (0.0000, 0.2500, 0.0530)
Se (0.0000, 0.2500, 0.6044)

E	-5.1250	eV per atom
raw formation energy	170	meV/atom

=====

Compound: CoSe3
Source: Alexandria
Functional: PBE-GGA
Structure: optimized geometry

Lattice parameters (Å, degrees): 3.7898 5.3829 3.8173 90.00 90.00 90.00
Space group Pmm2 (No. 25)
Inequivalent atoms, fractional coordinates:
Co (0.0000, 0.0000, 0.0000)
Se (0.0000, 0.5000, 0.9600)
Se (0.5000, 0.0000, 0.4277)
Se (0.5000, 0.5000, 0.4623)

E	-4.1545	eV per atom
excess energy over the best structure of this formula in the dataset	273	meV/atom
raw formation energy	235	meV/atom